Here is a relaxed TaInFe crystal from Alexandria via LeMat-Bulk. Energies are from PBE.

Cell and atoms, written as POSCAR:
```
TaInFe
1.0
4.4991 0.0000 0.0000
-2.2495 3.8963 0.0000
0.0000 0.0000 2.9005
Ta In Fe
1 1 1
Direct
0.0000 0.0000 0.0000
0.3333 0.6667 0.5335
0.6667 0.3333 0.2652
```

Energy of formation: 242 meV per atom
Space-group type: No. 156


Here is a relaxed Sm2Pa2S7 crystal from Alexandria via LeMat-Bulk. Energies are from PBE.

Cell and atoms, written as POSCAR:
```
Sm2Pa2S7
1.0
4.6298 0.0000 0.0000
0.0000 4.6298 0.0000
0.0000 0.0000 13.1601
Sm Pa S
2 2 7
Direct
0.0000 0.5000 0.1392
0.5000 0.0000 0.8608
0.0000 0.5000 0.6231
0.5000 0.0000 0.3769
0.0000 0.0000 0.2440
0.0000 0.0000 0.5000
0.0000 0.0000 0.7560
0.5000 0.5000 0.0000
0.5000 0.5000 0.2611
0.5000 0.5000 0.5000
0.5000 0.5000 0.7389
```

Raw formation energy: -18.82 eV per formula unit
Energy above the lowest structure with this stoichiometry: 0.111 eV/atom
Space-group type: No. 115


Here is a relaxed CsGeAs2 crystal from Alexandria via LeMat-Bulk. Energies are from PBE.

Cell and atoms, written as POSCAR:
```
CsGeAs2
1.0
6.9133 0.0000 0.0000
0.0000 5.0405 0.0000
-6.8724 0.0000 14.4888
Cs Ge As
4 4 8
Direct
0.2492 0.2492 0.2501
0.2492 0.2508 0.7501
0.7508 0.7492 0.2499
0.7508 0.7508 0.7499
0.2866 0.9998 0.5367
0.2866 0.5002 0.0367
0.7134 0.0001 0.4633
0.7134 0.4998 0.9633
0.0025 0.1643 0.9396
0.0025 0.3357 0.4396
0.3774 0.6641 0.4395
0.3774 0.8359 0.9395
0.6226 0.1641 0.0605
0.6226 0.3359 0.5605
0.9975 0.6643 0.5604
0.9975 0.8357 0.0604
```

Energy of formation: -146 meV per atom
Space-group type: No. 14


Here is a relaxed GaNi3Au crystal from Alexandria via LeMat-Bulk. Energies are from PBE.

Cell and atoms, written as POSCAR:
```
GaNi3Au
1.0
4.3150 0.0000 0.0000
0.0000 4.3150 0.0000
0.0000 0.0000 4.3150
Ga Ni Au
1 3 1
Direct
0.0000 0.0000 0.0000
0.0000 0.0000 0.5000
0.0000 0.5000 0.0000
0.5000 0.0000 0.0000
0.5000 0.5000 0.5000
```

Energy above the lowest structure with this stoichiometry: 0.000 eV/atom
Energy of formation: 663 meV per atom
Space-group type: No. 221